DFT (meta-GGA SCAN) results for FeP2SO at its PBEsol-relaxed geometry.

The uncorrected formation energy is 0.580 eV per atom. As for the mass density: 4.1 g/cm³.

Cell: 4.549 4.549 3.279 Å, 90.00 90.00 90.00°
Space group P4/mmm (No. 123)
Unique sites:
Fe 0.000 0.000 0.000
P 0.000 0.500 0.500
S 0.500 0.500 0.500
O 0.500 0.500 0.000


DFT (meta-GGA SCAN) results for BeHgRh2 at its PBEsol-relaxed geometry.

As for the mass density: 12.8 g/cm³. As for the formation energy: -0.2195 eV/atom. The energy above the lowest structure with this stoichiometry comes out at 0 meV/atom.

Cell: 2.847 2.847 6.640 Å, 90.00 90.00 90.00°
Space group P4/mmm (No. 123)
Unique sites:
Be 0.000 0.000 0.000
Hg 0.000 0.000 0.500
Rh 0.500 0.500 0.198


DFT (meta-GGA SCAN) results for AsRu2W at its PBEsol-relaxed geometry.

As for the mass density: 13.4 g/cm³. As for the formation energy: 0.2462 eV/atom.

Cell: 2.887 4.384 4.503 Å, 90.00 90.00 90.00°
Space group Pmmm (No. 47)
Unique sites:
As 0.000 0.000 0.000
Ru 0.000 0.500 0.500
Ru 0.500 0.500 0.000
W 0.500 0.000 0.500


DFT (meta-GGA SCAN) results for CsSiTe2I at its PBEsol-relaxed geometry.

The uncorrected formation energy is 1.290 eV per atom. As for the mass density: 3.6 g/cm³. The energy above the lowest structure with this stoichiometry comes out at 1613 meV/atom.

Cell: 6.159 6.159 6.601 Å, 90.00 90.00 90.00°
Space group P4/mmm (No. 123)
Unique sites:
Cs 0.000 0.000 0.000
Si 0.500 0.500 0.500
Te 0.000 0.500 0.000
I 0.000 0.000 0.500


DFT (meta-GGA SCAN) results for Ca2CdCl at its PBEsol-relaxed geometry.

The uncorrected formation energy is -0.911 eV per atom. As for the mass density: 3.6 g/cm³. The energy above the lowest structure with this stoichiometry comes out at 151 meV/atom.

Cell: 5.487 5.487 3.454 Å, 90.00 90.00 90.00°
Space group P4/mmm (No. 123)
Unique sites:
Ca 0.000 0.500 0.000
Cd 0.000 0.000 0.500
Cl 0.500 0.500 0.500


DFT (meta-GGA SCAN) results for RbMg2ZrFe at its PBEsol-relaxed geometry.

As for the mass density: 3.8 g/cm³. As for the formation energy: 1.8667 eV/atom.

Cell: 5.186 5.186 4.533 Å, 90.00 90.00 90.00°
Space group P4/mmm (No. 123)
Unique sites:
Rb 0.000 0.000 0.000
Mg 0.000 0.500 0.000
Zr 0.500 0.500 0.500
Fe 0.000 0.000 0.500


DFT (meta-GGA SCAN) results for MoOs3 at its PBEsol-relaxed geometry.

As for the mass density: 19.4 g/cm³. As for the formation energy: -0.0329 eV/atom.

Cell: 2.752 4.361 4.748 Å, 90.00 90.00 90.00°
Space group Pmm2 (No. 25)
Unique sites:
Mo 0.000 0.000 0.000
Os 0.000 0.500 0.336
Os 0.500 0.000 0.496
Os 0.500 0.500 0.833


DFT (meta-GGA SCAN) results for Ba2CaV2CuF14 at its PBEsol-relaxed geometry.

The uncorrected formation energy is -3.474 eV per atom. As for the mass density: 4.5 g/cm³.

Cell: 13.870 5.356 14.776 Å, 90.00 92.24 90.00°
Space group C2/c (No. 15)
Unique sites:
Ba 0.184 0.077 0.124
Ca 0.000 0.425 0.750
V 0.125 0.020 0.376
Cu 0.000 0.500 0.000
F 0.004 0.079 0.653
F 0.051 0.428 0.118
F 0.093 0.196 0.481
F 0.120 0.289 0.290
F 0.146 0.266 0.953
F 0.159 0.202 0.777
F 0.244 0.407 0.604


DFT (meta-GGA SCAN) results for KSe2NF at its PBEsol-relaxed geometry.

The uncorrected formation energy is 1.231 eV per atom. As for the mass density: 1.8 g/cm³.

Cell: 6.245 6.245 5.382 Å, 90.00 90.00 90.00°
Space group P4/mmm (No. 123)
Unique sites:
K 0.000 0.000 0.000
Se 0.000 0.500 0.000
N 0.000 0.000 0.500
F 0.500 0.500 0.500


DFT (meta-GGA SCAN) results for CrP at its PBEsol-relaxed geometry.

As for the mass density: 5.9 g/cm³. As for the formation energy: -0.5328 eV/atom.

Cell: 5.277 3.016 5.887 Å, 90.00 90.00 90.00°
Space group Pnma (No. 62)
Unique sites:
Cr 0.009 0.250 0.189
P 0.181 0.250 0.564


DFT (meta-GGA SCAN) results for MoAsPb2 at its PBEsol-relaxed geometry.

As for the mass density: 11.2 g/cm³. As for the formation energy: 0.7372 eV/atom.

Cell: 3.1843 3.1843 29.7588 Å, 90.00 90.00 120.00°
Space group R-3m (No. 166, hexagonal axes)
Unique sites:
Mo 0.0000 0.0000 0.0000
As 0.0000 0.0000 0.5000
Pb 0.0000 0.0000 0.2564


DFT (meta-GGA SCAN) results for K2AsAuI6 at its PBEsol-relaxed geometry.

The uncorrected formation energy is -0.675 eV per atom. As for the mass density: 5.0 g/cm³.

Cell: 11.400 11.400 11.400 Å, 90.00 90.00 90.00°
Space group Fm-3m (No. 225)
Unique sites:
K 0.250 0.250 0.250
As 0.000 0.000 0.000
Au 0.000 0.000 0.500
I 0.000 0.000 0.249


DOS at the Fermi energy: 2.62; 4.38; 3.38; 6.13; 2.23; 3.65; 2.86; 1.24; 2.36; 1.19; 3.59; 1.09 (states/eV/f.u.)